Record 1
Here is PuTePt after structural relaxation from Alexandria. Energies are from PBE.

a = 4.5368 Å, b = 4.5368 Å, c = 4.0445 Å
α = 90.00°, β = 90.00°, γ = 120.00°
Space group P3m1 (No. 156)
Unique sites:
Pu 0.0000 0.0000 0.0000 [1 per cell]
Te 0.3333 0.6667 0.5289 [1 per cell]
Pt 0.6667 0.3333 0.4136 [1 per cell]

Computed properties:
VASP energy: -8.574 eV/atom
Formation energy (no corrections): -0.736 eV/atom
Density: 13.1 Mg/m³

---

Record 2
Here is YGeS after structural relaxation from Alexandria. Energies are from PBE.

a = 3.7907 Å, b = 3.7907 Å, c = 17.7239 Å
α = 90.00°, β = 90.00°, γ = 90.00°
Space group I4/mmm (No. 139)
Unique sites:
Y 0.0000 0.0000 0.1494 [4 per cell]
Ge 0.0000 0.5000 0.0000 [4 per cell]
S 0.0000 0.0000 0.3116 [4 per cell]

Computed properties:
VASP energy: -6.403 eV/atom
Formation energy (no corrections): -1.333 eV/atom
Density: 5.0 Mg/m³

---

Record 3
Here is MgAlMo2 after structural relaxation from Alexandria. Energies are from PBE.

a = 2.8556 Å, b = 2.8556 Å, c = 27.9503 Å
α = 90.00°, β = 90.00°, γ = 120.00°
Space group R-3m (No. 166, hexagonal axes)
Unique sites:
Mg 0.0000 0.0000 0.0000 [3 per cell]
Al 0.0000 0.0000 0.5000 [3 per cell]
Mo 0.0000 0.0000 0.2462 [6 per cell]

Computed properties:
VASP energy: -6.534 eV/atom
Density: 6.1 Mg/m³

---

Record 4
Here is CuRe2Au after structural relaxation from Alexandria. Energies are from PBE.

a = 3.6868 Å, b = 3.6868 Å, c = 19.2798 Å
α = 90.00°, β = 90.00°, γ = 90.00°
Space group I-42d (No. 122)
Unique sites:
Cu 0.0000 0.0000 0.0000 [4 per cell]
Re 0.2162 0.2500 0.1250 [8 per cell]
Au 0.0000 0.0000 0.5000 [4 per cell]

Computed properties:
VASP energy: -7.319 eV/atom
Density: 16.0 Mg/m³

---

Record 5
Here is PmCuSn2Pd4 after structural relaxation from Alexandria. Energies are from PBE.

a = 4.4938 Å, b = 4.4938 Å, c = 26.0682 Å
α = 90.00°, β = 90.00°, γ = 120.00°
Space group R-3m (No. 166, hexagonal axes)
Unique sites:
Pm 0.0000 0.0000 0.0000 [3 per cell]
Cu 0.0000 0.0000 0.5000 [3 per cell]
Sn 0.0000 0.0000 0.2401 [6 per cell]
Pd 0.0000 0.0000 0.1334 [6 per cell]
Pd 0.0000 0.0000 0.3999 [6 per cell]

Computed properties:
VASP energy: -5.278 eV/atom
Density: 9.5 Mg/m³

---

Record 6
Here is SrTcPb after structural relaxation from Alexandria. Energies are from PBE.

a = 6.9224 Å, b = 6.9224 Å, c = 6.9224 Å
α = 90.00°, β = 90.00°, γ = 90.00°
Space group F-43m (No. 216)
Unique sites:
Sr 0.0000 0.0000 0.0000 [4 per cell]
Tc 0.2500 0.2500 0.2500 [4 per cell]
Pb 0.0000 0.0000 0.5000 [4 per cell]

Computed properties:
VASP energy: -4.588 eV/atom
Density: 7.9 Mg/m³